(1)
KAg3I4: relaxed, PBE.

Formation energy without anion corrections ... -0.4054 eV per atom
Calculated volume ... 302 Å³ per cell
DOS(E_F) ... 0.00 states/eV/atom
Energy ... -2.39 eV/atom

Cell and atoms, written as CIF:
```
data_KAg3I4
_chemical_formula_sum 'K1 Ag3 I4'
_cell_length_a 6.7090
_cell_length_b 6.7090
_cell_length_c 6.7090
_cell_angle_alpha 90.00
_cell_angle_beta 90.00
_cell_angle_gamma 90.00
_space_group_name_H-M_alt 'P -4 3 m'
_space_group_IT_number 215
_space_group_name_Hall 'P -4 2 3'
loop_
_atom_site_label
_atom_site_type_symbol
_atom_site_fract_x
_atom_site_fract_y
_atom_site_fract_z
K1 K 0.0000 0.0000 0.0000
Ag1 Ag 0.0000 0.0000 0.5000
I1 I 0.2713 0.2713 0.2713
```

(2)
K4Ag2I: relaxed, PBE.

Formation energy without anion corrections ... -0.2843 eV per atom
Calculated volume ... 740 Å³ per cell
DOS(E_F) ... 0.43 states/eV/atom
Energy ... -1.95 eV/atom

Cell and atoms, written as CIF:
```
data_K4Ag2I
_chemical_formula_sum 'K8 Ag4 I2'
_cell_length_a 6.6882
_cell_length_b 6.6882
_cell_length_c 16.5350
_cell_angle_alpha 90.00
_cell_angle_beta 90.00
_cell_angle_gamma 90.00
_space_group_name_H-M_alt 'I 4/m m m'
_space_group_IT_number 139
_space_group_name_Hall '-I 4 2'
loop_
_atom_site_label
_atom_site_type_symbol
_atom_site_fract_x
_atom_site_fract_y
_atom_site_fract_z
K1 K 0.0000 0.0000 0.2113
K2 K 0.0000 0.5000 0.0000
Ag1 Ag 0.0000 0.0000 0.4148
I1 I 0.0000 0.0000 0.0000
```

(3)
K2AgI: relaxed, PBE.

Formation energy without anion corrections ... -0.6206 eV per atom
Calculated volume ... 617 Å³ per cell
DOS(E_F) ... 0.00 states/eV/atom
Energy ... -2.27 eV/atom

Cell and atoms, written as CIF:
```
data_K2AgI
_chemical_formula_sum 'K8 Ag4 I4'
_cell_length_a 8.5138
_cell_length_b 8.5138
_cell_length_c 8.5138
_cell_angle_alpha 90.00
_cell_angle_beta 90.00
_cell_angle_gamma 90.00
_space_group_name_H-M_alt 'F m -3 m'
_space_group_IT_number 225
_space_group_name_Hall '-F 4 2 3'
loop_
_atom_site_label
_atom_site_type_symbol
_atom_site_fract_x
_atom_site_fract_y
_atom_site_fract_z
K1 K 0.2500 0.2500 0.2500
Ag1 Ag 0.0000 0.0000 0.0000
I1 I 0.0000 0.0000 0.5000
```

| no. | calculated density (g/cm³) |
| --- | --- |
| 1 | 4.79 |
| 2 | 2.24 |
| 3 | 3.37 |